No. 1
# Tl2CoAs | Alexandria via LeMat-Bulk | meta-GGA SCAN | PBEsol geometry
data_Tl2CoAs
_chemical_formula_sum 'Tl2 Co1 As1'
_symmetry_space_group_name_H-M 'P 1 2/m 1'
_symmetry_Int_Tables_number 10
_cell_length_a 4.578
_cell_length_b 3.339
_cell_length_c 5.710
_cell_angle_alpha 90.00
_cell_angle_beta 109.33
_cell_angle_gamma 90.00
loop_
_symmetry_equiv_pos_as_xyz
'x,y,z'
'-x,-y,-z'
'-x,y,-z'
'x,-y,z'
loop_
_atom_site_label
_atom_site_type_symbol
_atom_site_fract_x
_atom_site_fract_y
_atom_site_fract_z
Tl1 Tl 0.059 0.000 0.267
Co1 Co 0.500 0.500 0.500
As1 As 0.500 0.500 0.000
# Energy above the lowest structure with this stoichiometry (meV/atom): 0
# Calculated total energy (eV per atom): -45.0677
# Mass density (Mg/m³): 10.9
# Fermi-level density of states (states/eV/atom): 0.353
# Volume (Å³/cell): 82.4



No. 2
# TlCoAs3 | Alexandria via LeMat-Bulk | meta-GGA SCAN | PBEsol geometry
data_TlCoAs3
_chemical_formula_sum 'Tl1 Co1 As3'
_symmetry_space_group_name_H-M 'P m -3 m'
_symmetry_Int_Tables_number 221
_symmetry_space_group_name_Hall '-P 4 2 3'
_cell_length_a 4.626
_cell_length_b 4.626
_cell_length_c 4.626
_cell_angle_alpha 90.00
_cell_angle_beta 90.00
_cell_angle_gamma 90.00
loop_
_atom_site_label
_atom_site_type_symbol
_atom_site_fract_x
_atom_site_fract_y
_atom_site_fract_z
Tl1 Tl 0.000 0.000 0.000
Co1 Co 0.500 0.500 0.500
As1 As 0.000 0.500 0.500
# Calculated total energy (eV per atom): -29.5950
# Mass density (Mg/m³): 8.2
# Fermi-level density of states (states/eV/atom): 1.036
# Volume (Å³/cell): 99.0



No. 3
# Tl2CoAs | Alexandria via LeMat-Bulk | meta-GGA SCAN | PBEsol geometry
data_Tl2CoAs
_chemical_formula_sum 'Tl8 Co4 As4'
_symmetry_space_group_name_H-M 'F m -3 m'
_symmetry_Int_Tables_number 225
_symmetry_space_group_name_Hall '-F 4 2 3'
_cell_length_a 6.861
_cell_length_b 6.861
_cell_length_c 6.861
_cell_angle_alpha 90.00
_cell_angle_beta 90.00
_cell_angle_gamma 90.00
loop_
_atom_site_label
_atom_site_type_symbol
_atom_site_fract_x
_atom_site_fract_y
_atom_site_fract_z
Tl1 Tl 0.250 0.250 0.250
Co1 Co 0.000 0.000 0.000
As1 As 0.000 0.000 0.500
# Energy above the lowest structure with this stoichiometry (meV/atom): 110
# Calculated total energy (eV per atom): -44.9576
# Mass density (Mg/m³): 11.2
# Fermi-level density of states (states/eV/atom): 0.480
# Volume (Å³/cell): 323.0



No. 4
# Tl2CoAs | Alexandria via LeMat-Bulk | meta-GGA SCAN | PBEsol geometry
data_Tl2CoAs
_chemical_formula_sum 'Tl4 Co2 As2'
_symmetry_space_group_name_H-M 'I m m m'
_symmetry_Int_Tables_number 71
_symmetry_space_group_name_Hall '-I 2 2'
_cell_length_a 3.533
_cell_length_b 5.120
_cell_length_c 8.719
_cell_angle_alpha 90.00
_cell_angle_beta 90.00
_cell_angle_gamma 90.00
loop_
_atom_site_label
_atom_site_type_symbol
_atom_site_fract_x
_atom_site_fract_y
_atom_site_fract_z
Tl1 Tl 0.000 0.000 0.227
Co1 Co 0.000 0.500 0.500
As1 As 0.000 0.500 0.000
# Energy above the lowest structure with this stoichiometry (meV/atom): 119
# Calculated total energy (eV per atom): -44.9489
# Mass density (Mg/m³): 11.4
# Fermi-level density of states (states/eV/atom): 0.411
# Volume (Å³/cell): 157.7



No. 5
# VCoAs | Alexandria via LeMat-Bulk | meta-GGA SCAN | PBEsol geometry
data_VCoAs
_chemical_formula_sum 'V4 Co4 As4'
_symmetry_space_group_name_H-M 'P n m a'
_symmetry_Int_Tables_number 62
_cell_length_a 5.913
_cell_length_b 3.667
_cell_length_c 6.841
_cell_angle_alpha 90.00
_cell_angle_beta 90.00
_cell_angle_gamma 90.00
loop_
_symmetry_equiv_pos_as_xyz
'x,y,z'
'-x,-y,-z'
'-x+1/2,-y,z+1/2'
'x+1/2,y,-z+1/2'
'x+1/2,-y+1/2,-z+1/2'
'-x+1/2,y+1/2,z+1/2'
'-x,y+1/2,-z'
'x,-y+1/2,z'
loop_
_atom_site_label
_atom_site_type_symbol
_atom_site_fract_x
_atom_site_fract_y
_atom_site_fract_z
V1 V 0.029 0.250 0.179
Co1 Co 0.141 0.250 0.559
As1 As 0.242 0.750 0.377
# Calculated total energy (eV per atom): -18.7913
# Mass density (Mg/m³): 8.3
# Fermi-level density of states (states/eV/atom): 0.181
# Volume (Å³/cell): 148.3



No. 6
# CoAsW | Alexandria via LeMat-Bulk | meta-GGA SCAN | PBEsol geometry
data_CoAsW
_chemical_formula_sum 'Co2 As2 W2'
_symmetry_space_group_name_H-M 'I m m 2'
_symmetry_Int_Tables_number 44
_cell_length_a 2.783
_cell_length_b 3.115
_cell_length_c 9.170
_cell_angle_alpha 90.00
_cell_angle_beta 90.00
_cell_angle_gamma 90.00
loop_
_symmetry_equiv_pos_as_xyz
'x,y,z'
'-x,-y,z'
'-x,y,z'
'x,-y,z'
'x+1/2,y+1/2,z+1/2'
'-x+1/2,-y+1/2,z+1/2'
'-x+1/2,y+1/2,z+1/2'
'x+1/2,-y+1/2,z+1/2'
loop_
_atom_site_label
_atom_site_type_symbol
_atom_site_fract_x
_atom_site_fract_y
_atom_site_fract_z
Co1 Co 0.000 0.000 0.000
As1 As 0.000 0.000 0.358
W1 W 0.000 0.000 0.673
# Calculated total energy (eV per atom): -35.3961
# Mass density (Mg/m³): 13.3
# Fermi-level density of states (states/eV/atom): 0.647
# Volume (Å³/cell): 79.5



No. 7
# CoAsW3 | Alexandria via LeMat-Bulk | meta-GGA SCAN | PBEsol geometry
data_CoAsW3
_chemical_formula_sum 'Co1 As1 W3'
_symmetry_space_group_name_H-M 'P m -3 m'
_symmetry_Int_Tables_number 221
_symmetry_space_group_name_Hall '-P 4 2 3'
_cell_length_a 4.513
_cell_length_b 4.513
_cell_length_c 4.513
_cell_angle_alpha 90.00
_cell_angle_beta 90.00
_cell_angle_gamma 90.00
loop_
_atom_site_label
_atom_site_type_symbol
_atom_site_fract_x
_atom_site_fract_y
_atom_site_fract_z
Co1 Co 0.000 0.000 0.000
As1 As 0.500 0.500 0.500
W1 W 0.000 0.500 0.500
# Calculated total energy (eV per atom): -47.3172
# Mass density (Mg/m³): 12.4
# Fermi-level density of states (states/eV/atom): 0.798
# Volume (Å³/cell): 91.9



No. 8
# Y2CoAs | Alexandria via LeMat-Bulk | meta-GGA SCAN | PBEsol geometry
data_Y2CoAs
_chemical_formula_sum 'Y4 Co2 As2'
_symmetry_space_group_name_H-M 'A m m 2'
_symmetry_Int_Tables_number 38
_cell_length_a 3.996
_cell_length_b 3.868
_cell_length_c 10.464
_cell_angle_alpha 90.00
_cell_angle_beta 90.00
_cell_angle_gamma 90.00
loop_
_symmetry_equiv_pos_as_xyz
'x,y,z'
'-x,-y,z'
'-x,y,z'
'x,-y,z'
'x,y+1/2,z+1/2'
'-x,-y+1/2,z+1/2'
'-x,y+1/2,z+1/2'
'x,-y+1/2,z+1/2'
loop_
_atom_site_label
_atom_site_type_symbol
_atom_site_fract_x
_atom_site_fract_y
_atom_site_fract_z
Y1 Y 0.000 0.000 0.000
Y2 Y 0.500 0.000 0.281
Co1 Co 0.500 0.000 0.564
As1 As 0.000 0.000 0.709
# Calculated total energy (eV per atom): -24.1753
# Mass density (Mg/m³): 6.4
# Fermi-level density of states (states/eV/atom): 0.517
# Volume (Å³/cell): 161.7